A relaxed structure of Tb2CIBr, computed with PBE.

Calculated values
energy = -5.454 eV per atom

Cell and atoms, written as CIF:
```
data_Tb2CIBr
_chemical_formula_sum 'Tb2 C1 I1 Br1'
_cell_length_a 3.8367
_cell_length_b 3.8367
_cell_length_c 10.6216
_cell_angle_alpha 90.00
_cell_angle_beta 90.00
_cell_angle_gamma 120.00
_space_group_name_H-M_alt 'P 3 m 1'
_space_group_IT_number 156
loop_
_space_group_symop_operation_xyz
'x,y,z'
'-y,x-y,z'
'-x+y,-x,z'
'-y,-x,z'
'-x+y,y,z'
'x,x-y,z'
loop_
_atom_site_label
_atom_site_fract_x
_atom_site_fract_y
_atom_site_fract_z
Tb1 0.0000 0.0000 0.0000
Tb2 0.3333 0.6667 0.2518
C1 0.6667 0.3333 0.1258
I1 0.3333 0.6667 0.7936
Br1 0.0000 0.0000 0.4330
```